Record 1
Density functional theory data (PBE-GGA) for a relaxed LaY2F crystal.

Cell: 5.3802 5.3802 5.3802 Å, 60.00 60.00 60.00°
Last column: nearest neighbours and their distance in Å.
Fractional positions:
Y: 0.2500 0.2500 0.2500  4 La 3.29, 4 F 3.29
Y: 0.7500 0.7500 0.7500  4 La 3.29, 4 F 3.29
F: 0.0000 0.0000 0.0000  8 Y 3.29
La: 0.5000 0.5000 0.5000  8 Y 3.29

Summary:
VASP energy   -5.01 eV per atom
Total moment   0.0 μB/cell
Formation energy from raw total energies   -80 meV per atom
ΔE to the lowest computed polymorph   3.97 eV/f.u.

Record 2
Density functional theory data (PBE-GGA) for a relaxed La2YF crystal.

Cell: 5.5136 5.5136 5.5136 Å, 60.00 60.00 60.00°
Last column: nearest neighbours and their distance in Å.
Fractional positions:
Y: 0.5000 0.5000 0.5000  8 La 3.38
F: 0.0000 0.0000 0.0000  8 La 3.38
La: 0.2500 0.2500 0.2500  4 Y 3.38, 4 F 3.38
La: 0.7500 0.7500 0.7500  4 Y 3.38, 4 F 3.38

Summary:
VASP energy   -4.78 eV per atom
Total moment   0.0 μB/cell
Formation energy from raw total energies   -233 meV per atom
ΔE to the lowest computed polymorph   3.69 eV/f.u.

Record 3
Density functional theory data (PBE-GGA) for a relaxed La2YF8 crystal.

Cell: 4.0874 5.3399 7.8603 Å, 108.68 105.07 90.00°
Last column: nearest neighbours and their distance in Å.
Fractional positions:
La: 0.8216 0.2921 0.6432  9 F 2.50-2.69
La: 0.1784 0.7079 0.3568  9 F 2.50-2.69
Y: 0.5000 0.0000 0.0000  8 F 2.23-2.39
F: 0.4039 0.5814 0.8077  1 Y 2.23
F: 0.6453 0.9541 0.2906  1 Y 2.30, 2 La 2.57
F: 0.7797 0.7075 0.5594  3 La 2.50-2.56, 4 F 2.70-2.77
F: 0.9747 0.1987 0.9493  2 Y 2.39, 3 F 2.49-2.68, 1 La 2.53
F: 0.2203 0.2925 0.4406  3 La 2.50-2.56, 4 F 2.70-2.77
F: 0.3547 0.0459 0.7094  1 Y 2.30, 2 La 2.57
F: 0.5961 0.4186 0.1923  1 Y 2.23
F: 0.0253 0.8013 0.0507  2 Y 2.39, 3 F 2.49-2.68, 1 La 2.53

Summary:
VASP energy   -6.75 eV per atom
Total moment   1.0 μB/cell
Formation energy from raw total energies   -3903 meV per atom

Record 4
Density functional theory data (PBE-GGA) for a relaxed La2YZrF crystal.

Cell: 5.2488 4.7592 5.2488 Å, 90.00 90.00 90.00°
Last column: nearest neighbours and their distance in Å.
Fractional positions:
Y: 0.5000 0.5000 0.5000  8 La 3.54, 4 Zr 3.71
F: 0.0000 0.0000 0.0000  2 Zr 2.38, 4 La 2.62
Zr: 0.0000 0.5000 0.0000  2 F 2.38
La: 0.0000 0.0000 0.5000  2 F 2.62
La: 0.5000 0.0000 0.0000  2 F 2.62

Summary:
VASP energy   -6.17 eV per atom
Total moment   0.0 μB/cell
Formation energy from raw total energies   -822 meV per atom

Record 5
Density functional theory data (PBE-GGA) for a relaxed LaZnF crystal.

Cell: 4.3006 4.3006 8.1933 Å, 74.78 74.78 60.00°
Last column: nearest neighbours and their distance in Å.
Fractional positions:
F: 0.3041 0.3041 0.0877  4 La 2.48-2.72
F: 0.6959 0.6959 0.9123  4 La 2.48-2.72
Zn: 0.1617 0.1617 0.5149  3 Zn 2.49
Zn: 0.8383 0.8383 0.4851  3 Zn 2.49
La: 0.4098 0.4098 0.7705  4 F 2.48-2.72
La: 0.5902 0.5902 0.2295  4 F 2.48-2.72

Summary:
VASP energy   -4.60 eV per atom
Total moment   0.1 μB/cell
Formation energy from raw total energies   -1911 meV per atom

Record 6
Density functional theory data (PBE-GGA) for a relaxed LaZn2F crystal.

Cell: 4.9575 4.9575 4.9575 Å, 60.00 60.00 60.00°
Last column: nearest neighbours and their distance in Å.
Fractional positions:
Zn: 0.2500 0.2500 0.2500  4 La 3.04, 4 F 3.04
Zn: 0.7500 0.7500 0.7500  4 La 3.04, 4 F 3.04
F: 0.0000 0.0000 0.0000  8 Zn 3.04
La: 0.5000 0.5000 0.5000  8 Zn 3.04

Summary:
VASP energy   -2.87 eV per atom
Total moment   0.0 μB/cell
Formation energy from raw total energies   -533 meV per atom
ΔE to the lowest computed polymorph   2.35 eV/f.u.

Record 7
Density functional theory data (PBE-GGA) for a relaxed La2Zn2F crystal.

Cell: 7.1342 7.1342 4.9662 Å, 90.00 90.00 90.00°
Last column: nearest neighbours and their distance in Å.
Fractional positions:
Zn: 0.1263 0.6263 0.5000  1 Zn 2.55
Zn: 0.6263 0.8737 0.5000  1 Zn 2.55
Zn: 0.8737 0.3737 0.5000  1 Zn 2.55
Zn: 0.3737 0.1263 0.5000  1 Zn 2.55
F: 0.0000 0.0000 0.0000  4 La 2.63
F: 0.5000 0.5000 0.0000  4 La 2.63
La: 0.3239 0.8239 0.0000  2 F 2.63
La: 0.8239 0.6761 0.0000  2 F 2.63
La: 0.6761 0.1761 0.0000  2 F 2.63
La: 0.1761 0.3239 0.0000  2 F 2.63

Summary:
VASP energy   -3.91 eV per atom
Total moment   0.0 μB/cell
Formation energy from raw total energies   -1059 meV per atom

Record 8
Density functional theory data (PBE-GGA) for a relaxed LaZn2F crystal.

Cell: 8.9396 8.9396 6.7397 Å, 48.46 48.46 90.00°
Last column: nearest neighbours and their distance in Å.
Fractional positions:
Zn: 0.5986 0.1250 0.2500  2 Zn 2.39
Zn: 0.1514 0.6250 0.2500  2 Zn 2.39
Zn: 0.3750 0.4014 0.7500  2 Zn 2.39
Zn: 0.8750 0.8486 0.7500  2 Zn 2.39
F: 0.5000 0.5000 0.0000  2 La 2.34
F: 0.2500 0.7500 0.5000  2 La 2.34
La: 0.0000 0.0000 0.0000  2 F 2.34
La: 0.7500 0.2500 0.5000  2 F 2.34

Summary:
VASP energy   -3.46 eV per atom
Total moment   0.0 μB/cell
Formation energy from raw total energies   -1120 meV per atom
ΔE to the lowest computed polymorph   0.00 eV/f.u.

Record 9
Density functional theory data (PBE-GGA) for a relaxed LaZnF5 crystal.

Cell: 5.8022 5.8022 8.0331 Å, 70.30 70.30 72.39°
Last column: nearest neighbours and their distance in Å.
Fractional positions:
La: 0.5548 0.4452 0.2500  7 F 2.28-2.49
La: 0.4452 0.5548 0.7500  7 F 2.28-2.49
Zn: 0.0000 0.0000 0.0000  6 F 1.99-2.12
Zn: 0.0000 0.0000 0.5000  6 F 1.99-2.12
F: 0.7902 0.7440 0.1185  1 Zn 1.99
F: 0.2955 0.6829 0.4690  1 Zn 2.12
F: 0.7440 0.7902 0.6185  1 Zn 1.99
F: 0.9085 0.0915 0.2500  2 Zn 2.10
F: 0.3171 0.7045 0.0310  1 Zn 2.12
F: 0.6829 0.2955 0.9690  1 Zn 2.12
F: 0.0915 0.9085 0.7500  2 Zn 2.10
F: 0.2560 0.2098 0.3815  1 Zn 1.99
F: 0.7045 0.3171 0.5310  1 Zn 2.12
F: 0.2098 0.2560 0.8815  1 Zn 1.99

Summary:
VASP energy   -5.56 eV per atom
Total moment   0.0 μB/cell
Formation energy from raw total energies   -3339 meV per atom

Record 10
Density functional theory data (PBE-GGA) for a relaxed LaZnF4 crystal.

Cell: 5.9864 5.9864 5.0239 Å, 126.57 126.57 90.00°
Last column: nearest neighbours and their distance in Å.
Fractional positions:
La: 0.7500 0.2500 0.5000  8 F 2.41-2.65
Zn: 0.5000 0.5000 0.0000  4 F 2.19
F: 0.2496 0.7596 0.0739  1 Zn 2.19, 1 La 2.41
F: 0.8244 0.3143 0.0739  1 Zn 2.19, 1 La 2.41
F: 0.2404 0.1756 0.9261  1 Zn 2.19, 1 La 2.41
F: 0.6857 0.7504 0.9261  1 Zn 2.19, 1 La 2.41

Summary:
VASP energy   -5.14 eV per atom
Total moment   0.0 μB/cell
Formation energy from raw total energies   -2862 meV per atom

Record 11
Density functional theory data (PBE-GGA) for a relaxed LaZrZnF2 crystal.

Cell: 4.4803 5.3769 4.4803 Å, 90.00 90.00 90.00°
Last column: nearest neighbours and their distance in Å.
Fractional positions:
Zn: 0.0000 0.0000 0.0000  4 F 2.24
F: 0.0000 0.0000 0.5000  2 Zn 2.24
F: 0.5000 0.0000 0.0000  2 Zn 2.24
Zr: 0.0000 0.5000 0.0000  2 Zn 2.69
La: 0.5000 0.5000 0.5000  4 Zr 3.17, 8 F 3.50

Summary:
VASP energy   -4.33 eV per atom
Total moment   0.0 μB/cell
Formation energy from raw total energies   -634 meV per atom

Record 12
Density functional theory data (PBE-GGA) for a relaxed LaZrF2 crystal.

Cell: 8.5725 8.5725 8.5725 Å, 20.40 20.40 20.40°
Last column: nearest neighbours and their distance in Å.
Fractional positions:
F: 0.8960 0.8960 0.8960  3 Zr 2.36, 1 La 2.62
F: 0.1040 0.1040 0.1040  3 Zr 2.36, 1 La 2.62
Zr: 0.5000 0.5000 0.5000  6 F 2.36
La: 0.0000 0.0000 0.0000  2 F 2.62

Summary:
VASP energy   -6.12 eV per atom
Total moment   0.0 μB/cell
Formation energy from raw total energies   -1814 meV per atom
ΔE to the lowest computed polymorph   0.22 eV/f.u.